This record from the Alexandria database describes crystalline HfRePO2 at its relaxed geometry. The functional is PBE-GGA.

abc: 3.924 3.924 5.624
angles: 90.00 90.00 90.00
Fractional positions:
Re (0.500, 0.500, 0.500)
Hf (0.000, 0.000, 0.000)
O (0.000, 0.500, 0.000)
O (0.500, 0.000, 0.000)
P (0.000, 0.000, 0.500)

Properties
The formation energy without anion corrections is -0.74 eV per atom. The calculated density is 8.201 g/cm3. For the total magnetic moment, the calculation gives 4.0 μB/f.u. Its space group is No. 123. The polymorph energy (0 for the lowest one) comes out at 36 meV per atom.